# Tl5Au3

A crystal of Tl5Au3 relaxed with PBEsol (SCAN, Alexandria via LeMat-Bulk).

a b c (Å): 8.2017 9.9514 4.6201
angles (deg): 90.00 90.00 90.00
Fractional coordinates of all 16 atoms:
Tl: 0.0000 0.0000 0.0000
Tl: 0.2131 0.5000 0.5000
Tl: 0.2500 0.2500 0.0000
Tl: 0.2500 0.7500 0.0000
Tl: 0.2869 0.0000 0.5000
Tl: 0.5000 0.5000 0.0000
Tl: 0.7131 0.0000 0.5000
Tl: 0.7500 0.2500 0.0000
Tl: 0.7500 0.7500 0.0000
Tl: 0.7869 0.5000 0.5000
Au: 0.0000 0.2266 0.5000
Au: 0.0000 0.5000 0.0000
Au: 0.0000 0.7734 0.5000
Au: 0.5000 0.0000 0.0000
Au: 0.5000 0.2734 0.5000
Au: 0.5000 0.7266 0.5000

Output
Energy above the lowest structure with this stoichiometry in eV/atom: 0.037
SG: No. 65
Energy of formation from the pure elements in eV per atom: 0.045


# ScBiPd3

A crystal of ScBiPd3 relaxed with PBEsol (SCAN, Alexandria via LeMat-Bulk).

a b c (Å): 4.7379 4.7379 4.7379
angles (deg): 90.00 90.00 90.00
Fractional coordinates of all 5 atoms:
Sc: 0.0000 0.0000 0.0000
Bi: 0.5000 0.5000 0.5000
Pd: 0.0000 0.0000 0.5000
Pd: 0.0000 0.5000 0.0000
Pd: 0.5000 0.0000 0.0000

Output
SG: No. 221
Energy of formation from the pure elements in eV per atom: 0.213


# ZrCdSe2

A crystal of ZrCdSe2 relaxed with PBEsol (SCAN, Alexandria via LeMat-Bulk).

a b c (Å): 3.6374 3.6374 23.4796
angles (deg): 90.00 90.00 120.00
Fractional coordinates of all 12 atoms:
Zr: 0.0000 0.0000 0.0000
Zr: 0.3333 0.6667 0.6667
Zr: 0.6667 0.3333 0.3333
Cd: 0.0000 0.0000 0.5000
Cd: 0.3333 0.6667 0.1667
Cd: 0.6667 0.3333 0.8333
Se: 0.0000 0.0000 0.2614
Se: 0.0000 0.0000 0.7386
Se: 0.3333 0.6667 0.4053
Se: 0.3333 0.6667 0.9280
Se: 0.6667 0.3333 0.0720
Se: 0.6667 0.3333 0.5947

Output
SG: No. 166
ΔE_f (raw) in eV/atom: -1.00


# Mg7FeSi4O16

A crystal of Mg7FeSi4O16 relaxed with PBEsol (SCAN, Alexandria via LeMat-Bulk).

a b c (Å): 4.7793 5.9842 10.2404
angles (deg): 90.05 90.02 90.14
Fractional coordinates of all 28 atoms:
Mg: 0.0000 0.0000 0.0000
Mg: 0.0000 0.5000 0.0000
Mg: 0.0096 0.2492 0.7242
Mg: 0.4924 0.2506 0.2224
Mg: 0.5000 0.0000 0.5000
Mg: 0.5076 0.7494 0.7776
Mg: 0.9904 0.7508 0.2758
Fe: 0.5000 0.5000 0.5000
Si: 0.0725 0.7510 0.5951
Si: 0.4268 0.7503 0.0936
Si: 0.5732 0.2497 0.9064
Si: 0.9275 0.2490 0.4049
O: 0.2134 0.7525 0.4465
O: 0.2176 0.5338 0.6667
O: 0.2256 0.9690 0.6636
O: 0.2326 0.2496 0.9086
O: 0.2693 0.2484 0.4057
O: 0.2760 0.9681 0.1632
O: 0.2766 0.5319 0.1627
O: 0.2779 0.7505 0.9463
O: 0.7221 0.2495 0.0537
O: 0.7234 0.4681 0.8373
O: 0.7240 0.0319 0.8368
O: 0.7307 0.7516 0.5943
O: 0.7674 0.7504 0.0914
O: 0.7744 0.0310 0.3364
O: 0.7824 0.4662 0.3333
O: 0.7866 0.2475 0.5535

Output
SG: No. 2
ΔE_f (raw) in eV/atom: -2.98


# NbPICl2

A crystal of NbPICl2 relaxed with PBEsol (SCAN, Alexandria via LeMat-Bulk).

a b c (Å): 5.1820 5.1820 5.2105
angles (deg): 90.00 90.00 90.00
Fractional coordinates of all 5 atoms:
Nb: 0.0000 0.0000 0.0000
P: 0.5000 0.5000 0.0000
I: 0.5000 0.5000 0.5000
Cl: 0.0000 0.5000 0.5000
Cl: 0.5000 0.0000 0.5000

Output
SG: No. 123
ΔE_f (raw) in eV/atom: 1.14


# LaGa2Ni

A crystal of LaGa2Ni relaxed with PBEsol (SCAN, Alexandria via LeMat-Bulk).

a b c (Å): 4.2040 17.4464 4.1764
angles (deg): 90.00 90.00 90.00
Fractional coordinates of all 16 atoms:
La: 0.0000 0.1407 0.0000
La: 0.0000 0.8593 0.0000
La: 0.5000 0.3593 0.0000
La: 0.5000 0.6407 0.0000
Ga: 0.0000 0.0000 0.5000
Ga: 0.0000 0.2908 0.5000
Ga: 0.0000 0.5000 0.0000
Ga: 0.0000 0.7092 0.5000
Ga: 0.5000 0.0000 0.0000
Ga: 0.5000 0.2092 0.5000
Ga: 0.5000 0.5000 0.5000
Ga: 0.5000 0.7908 0.5000
Ni: 0.0000 0.4281 0.5000
Ni: 0.0000 0.5719 0.5000
Ni: 0.5000 0.0719 0.5000
Ni: 0.5000 0.9281 0.5000

Output
SG: No. 65
Energy of formation from the pure elements in eV per atom: -0.719


| no. | spin magnetization (μB per cell) | calculated volume (Å³ per cell) |
| --- | --- | --- |
| 1 | 0.000 | 377 |
| 2 | 0.000 | 106 |
| 3 | 0.000 | 269 |
| 4 | 4.000 | 293 |
| 5 | 3.151 | 140 |
| 6 | 0.000 | 306 |